P:
Material: Ti2Ni2Bi
Method: DFT, PBE
State: optimized geometry

```
Ti2Ni2Bi
1.0
6.9997 0.0000 0.0000
0.0000 6.9997 0.0000
0.0000 0.0000 3.2702
Ni Bi Ti
4 2 4
direct
0.3770 0.8770 0.0000
0.8770 0.6230 0.0000
0.6230 0.1230 0.0000
0.1230 0.3770 0.0000
0.0000 0.0000 0.0000
0.5000 0.5000 0.0000
0.1597 0.6597 0.5000
0.6597 0.8403 0.5000
0.8403 0.3403 0.5000
0.3403 0.1597 0.5000
```

Calculated values
- M_tot (μB/f.u.) = 0.00
- symmetry = P4/mbm, No. 127
- calculated density (Mg/m³) = 8.7

Q:
Material: Ti2Ni2Bi
Method: DFT, PBE
State: optimized geometry

```
Ti2Ni2Bi
1.0
-0.4634 2.2000 2.5454
-3.2502 0.3708 -0.9122
-3.7993 -4.4396 5.4110
Ni Bi Ti
2 1 2
direct
0.7500 0.2500 0.5000
0.2500 0.7500 0.5000
0.0000 0.0000 0.0000
0.3691 0.3691 0.2618
0.6309 0.6309 0.7382
```

Calculated values
- M_tot (μB/f.u.) = 0.00
- symmetry = I4/mmm, No. 139
- calculated density (Mg/m³) = 8.0

Looking at the structures above, P is most stable, and the difference to the next one is 183 meV per atom.